## AlZnGe (PBE)

Data for crystalline AlZnGe at its relaxed geometry.

Unit cell a=4.3556 b=4.3556 c=4.3556 alpha=60.00 beta=60.00 gamma=60.00
Positions (direct):
Al 0.0000 0.0000 0.0000
Zn 0.5000 0.5000 0.5000
Ge 0.2500 0.2500 0.2500

Calculated values
E_tot: -3.059 eV/atom
crystal system: cubic
space group: F-43m